A relaxed NdVO3 crystal. Source: Alexandria via LeMat-Bulk, functional PBE+U.

## Properties
The value obtained for the total magnetization is 8.00 μB per cell. Its space group is No. 62. The value obtained for the calculated total energy is -164.08 eV per cell.

Geometry as CIF:
```
data_NdVO3
_cell_length_a 5.4960
_cell_length_b 5.7916
_cell_length_c 7.7949
_cell_angle_alpha 90.00
_cell_angle_beta 90.00
_cell_angle_gamma 90.00
_space_group_name_H-M_alt 'P 1'
_space_group_IT_number 1
loop_
_space_group_symop_operation_xyz
'x,y,z'
loop_
_atom_site_label
_atom_site_type_symbol
_atom_site_fract_x
_atom_site_fract_y
_atom_site_fract_z
_atom_site_occupancy
Nd1 Nd 0.4846 0.4401 0.7500 1
Nd2 Nd 0.5154 0.5599 0.2500 1
Nd3 Nd 0.0154 0.9401 0.7500 1
Nd4 Nd 0.9846 0.0599 0.2500 1
O1 O 0.2949 0.6965 0.5500 1
O2 O 0.2949 0.6965 0.9500 1
O3 O 0.4027 0.9671 0.2500 1
O4 O 0.2051 0.1965 0.9500 1
O5 O 0.7949 0.8035 0.4500 1
O6 O 0.7949 0.8035 0.0500 1
O7 O 0.7051 0.3035 0.4500 1
O8 O 0.7051 0.3035 0.0500 1
O9 O 0.2051 0.1965 0.5500 1
O10 O 0.9027 0.5329 0.7500 1
O11 O 0.5973 0.0329 0.7500 1
O12 O 0.0973 0.4671 0.2500 1
V1 V 0.5000 0.0000 0.5000 1
V2 V 0.5000 0.0000 0.0000 1
V3 V 0.0000 0.5000 0.5000 1
V4 V 0.0000 0.5000 0.0000 1
```